Crystalline Cs3Sm2RhO6 at its relaxed geometry. Source: Alexandria, functional PBE.

Values from the calculation:
For the total energy, the calculation gives -5.990 eV per atom. The energy relative to the elements, uncorrected is -22.777 eV per formula unit.

a = 6.119 Å, b = 6.119 Å, c = 7.099 Å
α = 98.22°, β = 98.22°, γ = 119.97°
Positions (direct):
O: 0.741 0.741 0.167
Cs: 0.500 0.500 0.500
Sm: 0.667 0.333 0.000
Cs: 0.163 0.837 0.500
O: 0.945 0.631 0.835
O: 0.259 0.259 0.833
Cs: 0.837 0.163 0.500
Rh: 0.000 0.000 0.000
O: 0.055 0.369 0.165
O: 0.369 0.055 0.165
Sm: 0.333 0.667 0.000
O: 0.631 0.945 0.835


Crystalline Cs3Sm3RhO8 at its relaxed geometry. Source: Alexandria, functional PBE.

Values from the calculation:
For the total energy, the calculation gives -6.406 eV per atom. The energy relative to the elements, uncorrected is -32.352 eV per formula unit.

a = 7.032 Å, b = 7.033 Å, c = 8.037 Å
α = 115.97°, β = 90.00°, γ = 120.00°
Last column: magnetic moment on the atom in μB.
Positions (direct):
O: 0.750 0.953 0.656  0.06
O: 0.203 0.953 0.656  0.06
O: 0.797 0.593 0.344  0.06
Cs: 0.500 0.500 0.000  0.00
Rh: 0.000 0.000 0.500  0.61
O: 0.203 0.407 0.656  0.06
Sm: 0.000 0.500 0.500  0.00
O: 0.797 0.047 0.344  0.06
Sm: 0.500 0.000 0.500  0.00
O: 0.250 0.047 0.344  0.06
Sm: 0.500 0.500 0.500  0.00
Cs: 0.000 0.500 0.000  0.00
O: 0.722 0.443 0.665  0.00
O: 0.278 0.557 0.335  0.00
Cs: 0.000 0.000 0.000  0.00


Crystalline Cs2SrRhO4 at its relaxed geometry. Source: Alexandria, functional PBE.

Values from the calculation:
For the total energy, the calculation gives -5.055 eV per atom. The energy relative to the elements, uncorrected is -9.863 eV per formula unit.

a = 6.482 Å, b = 7.783 Å, c = 12.426 Å
α = 83.76°, β = 74.88°, γ = 65.39°
Last column: magnetic moment on the atom in μB.
Positions (direct):
O: 0.377 0.806 0.024  0.27
O: 0.207 0.194 0.976  0.27
Sr: 0.750 0.500 0.500  0.01
O: 0.598 0.194 0.024  0.27
Sr: 0.000 0.000 0.000  0.01
O: 0.933 0.694 0.524  0.27
O: 0.152 0.306 0.476  0.27
Rh: 0.500 0.000 0.000  1.59
O: 0.817 0.806 0.976  0.27
Cs: 0.560 0.500 0.880  0.01
Cs: 0.810 0.000 0.380  0.01
O: 0.373 0.694 0.476  0.27
Rh: 0.250 0.500 0.500  1.59
Cs: 0.940 0.500 0.120  0.01
Cs: 0.190 0.000 0.620  0.01
O: 0.543 0.306 0.524  0.27